Record 1
A geometry-optimized RbSc2VCu structure. Source: Alexandria, functional GGA-PBE.

Unit cell a=5.0954 b=5.0954 c=5.7184 alpha=90.00 beta=90.00 gamma=90.00
Last column: nearest neighbours and their distance in Å.
Space group P4/mmm (No. 123)
Unique sites:
Rb (0.0000, 0.0000, 0.0000) (multiplicity 1)  2 Cu 2.86
Sc (0.0000, 0.5000, 0.5000) (multiplicity 2)  2 Cu 2.55
V (0.5000, 0.5000, 0.0000) (multiplicity 1)  4 Rb 3.60, 8 Sc 3.83
Cu (0.0000, 0.0000, 0.5000) (multiplicity 1)  4 Sc 2.55

**D(E_F)**: 9.85 states/eV/cell
**VASP energy**: -20.3 eV/cell
**Formation enthalpy at 0 K**: 1.3097 eV per atom
**Crystal system**: tetragonal
**M_tot**: 0.180 μB/atom

=====

Record 2
A geometry-optimized Li2TlSnH structure. Source: Alexandria, functional GGA-PBE.

Unit cell a=4.4897 b=4.4897 c=4.4269 alpha=90.00 beta=90.00 gamma=90.00
Last column: nearest neighbours and their distance in Å.
Space group P4/mmm (No. 123)
Unique sites:
Li (0.0000, 0.5000, 0.0000) (multiplicity 2)  2 H 2.24
Tl (0.0000, 0.0000, 0.5000) (multiplicity 1)  8 Li 3.15, 4 Sn 3.17
Sn (0.5000, 0.5000, 0.5000) (multiplicity 1)  2 H 2.21
H (0.5000, 0.5000, 0.0000) (multiplicity 1)  2 Sn 2.21, 4 Li 2.24

**D(E_F)**: 0.97 states/eV/cell
**VASP energy**: -14.1 eV/cell
**Crystal system**: tetragonal
**M_tot**: 0.000 μB/atom

=====

Record 3
A geometry-optimized NdThGe4 structure. Source: Alexandria, functional GGA-PBE.

Unit cell a=8.0709 b=8.0709 c=8.0709 alpha=90.00 beta=90.00 gamma=90.00
Last column: nearest neighbours and their distance in Å.
Space group F-43m (No. 216)
Unique sites:
Nd (0.0000, 0.0000, 0.0000) (multiplicity 4)  12 Ge 3.34, 4 Th 3.49
Th (0.2500, 0.2500, 0.2500) (multiplicity 4)  12 Ge 3.35, 4 Nd 3.49
Ge (0.1255, 0.1255, 0.6255) (multiplicity 16)  6 Ge 2.84-2.87

**D(E_F)**: 19.67 states/eV/cell
**VASP energy**: -130.3 eV/cell
**Formation enthalpy at 0 K**: -0.3217 eV per atom
**Crystal system**: cubic
**M_tot**: 0.000 μB/atom

=====

Record 4
A geometry-optimized CuSi3As structure. Source: Alexandria, functional GGA-PBE.

Unit cell a=4.5168 b=4.5168 c=4.5168 alpha=90.00 beta=90.00 gamma=90.00
Last column: nearest neighbours and their distance in Å.
Space group Pm-3m (No. 221)
Unique sites:
Cu (0.0000, 0.0000, 0.0000) (multiplicity 1)  6 Si 2.26
Si (0.0000, 0.0000, 0.5000) (multiplicity 3)  2 Cu 2.26
As (0.5000, 0.5000, 0.5000) (multiplicity 1)  12 Si 3.19

**D(E_F)**: 2.59 states/eV/cell
**VASP energy**: -21.4 eV/cell
**Crystal system**: cubic
**Formation energy from raw total energies**: 0.724 eV/atom
**M_tot**: 0.000 μB/atom

=====

Record 5
A geometry-optimized Ba2PaFeS5 structure. Source: Alexandria, functional GGA-PBE.

Unit cell a=4.1141 b=17.6546 c=13.0291 alpha=90.00 beta=90.00 gamma=90.00
Last column: nearest neighbours and their distance in Å.
Space group Cmc2_1 (No. 36)
Unique sites:
Ba (0.0000, 0.1177, 0.0000) (multiplicity 4)  7 S 3.11-3.45
Ba (0.0000, 0.1192, 0.6458) (multiplicity 4)  7 S 3.08-3.40
Pa (0.0000, 0.1885, 0.3275) (multiplicity 4)  6 S 2.64-2.75
Fe (0.0000, 0.4364, 0.7484) (multiplicity 4)  4 S 2.29-2.38
S (0.0000, 0.0379, 0.3301) (multiplicity 4)  2 Fe 2.36
S (0.0000, 0.3045, 0.9670) (multiplicity 4)  2 Pa 2.75
S (0.0000, 0.3092, 0.6881) (multiplicity 4)  1 Fe 2.38
S (0.0000, 0.3382, 0.3231) (multiplicity 4)  1 Pa 2.64
S (0.0000, 0.4952, 0.5921) (multiplicity 4)  1 Fe 2.29

**D(E_F)**: 14.73 states/eV/cell
**VASP energy**: -227.3 eV/cell
**Crystal system**: orthorhombic
**Formation energy from raw total energies**: -1.599 eV/atom
**M_tot**: 0.332 μB/atom

=====

Record 6
A geometry-optimized Tl2WBr7 structure. Source: Alexandria, functional GGA-PBE.

Unit cell a=12.7468 b=10.8467 c=12.2316 alpha=90.00 beta=111.63 gamma=90.00
Last column: nearest neighbours and their distance in Å.
Space group C2/c (No. 15)
Unique sites:
Tl (0.1280, 0.1693, 0.1593) (multiplicity 8)  1 Br 2.97
W (0.0000, 0.1846, 0.7500) (multiplicity 4)  6 Br 2.47-2.55
Br (0.0000, 0.3445, 0.2500) (multiplicity 4)  2 Tl 2.97
Br (0.1077, 0.3409, 0.8948) (multiplicity 8)  1 W 2.47
Br (0.1087, 0.0124, 0.8874) (multiplicity 8)  1 W 2.55
Br (0.1463, 0.1795, 0.6566) (multiplicity 8)  1 W 2.52

**D(E_F)**: 24.81 states/eV/cell
**VASP energy**: -141.4 eV/cell
**Crystal system**: monoclinic
**Formation energy from raw total energies**: -0.596 eV/atom
**M_tot**: 0.100 μB/atom

=====

Record 7
A geometry-optimized Si3WCl structure. Source: Alexandria, functional GGA-PBE.

Unit cell a=4.8057 b=4.8057 c=4.8057 alpha=90.00 beta=90.00 gamma=90.00
Last column: nearest neighbours and their distance in Å.
Space group Pm-3m (No. 221)
Unique sites:
Si (0.0000, 0.0000, 0.5000) (multiplicity 3)  2 W 2.40
W (0.0000, 0.0000, 0.0000) (multiplicity 1)  6 Si 2.40
Cl (0.5000, 0.5000, 0.5000) (multiplicity 1)  12 Si 3.40

**D(E_F)**: 4.14 states/eV/cell
**VASP energy**: -28.9 eV/cell
**Crystal system**: cubic
**Formation energy from raw total energies**: 0.428 eV/atom
**M_tot**: 0.000 μB/atom

=====

Record 8
A geometry-optimized Mn6IrRu structure. Source: Alexandria, functional GGA-PBE.

Unit cell a=7.3209 b=7.3755 c=3.7027 alpha=90.00 beta=90.00 gamma=90.00
Last column: nearest neighbours and their distance in Å.
Space group Cmmm (No. 65)
Unique sites:
Mn (0.0000, 0.2500, 0.0000) (multiplicity 4)  8 Mn 2.59-2.61, 2 Ir 2.61, 2 Ru 2.61
Mn (0.2483, 0.0000, 0.0000) (multiplicity 4)  8 Mn 2.59-2.61, 2 Ru 2.59, 2 Ir 2.61
Mn (0.2500, 0.2500, 0.5000) (multiplicity 4)  2 Ru 2.60, 2 Ir 2.60, 8 Mn 2.60-2.61
Ir (0.0000, 0.5000, 0.5000) (multiplicity 2)  12 Mn 2.60-2.61
Ru (0.0000, 0.0000, 0.5000) (multiplicity 2)  12 Mn 2.59-2.61

**D(E_F)**: 15.56 states/eV/cell
**VASP energy**: -147.7 eV/cell
**Formation enthalpy at 0 K**: -0.0895 eV per atom
**Crystal system**: orthorhombic
**M_tot**: 0.373 μB/atom

=====

Record 9
A geometry-optimized AcAlCu structure. Source: Alexandria, functional GGA-PBE.

Unit cell a=5.8288 b=14.6673 c=15.3621 alpha=90.00 beta=90.00 gamma=90.00
Last column: nearest neighbours and their distance in Å.
Space group Fmmm (No. 69)
Unique sites:
Ac (0.0000, 0.1437, 0.1328) (multiplicity 16)  4 Cu 2.96-3.13
Al (0.0000, 0.0000, 0.4133) (multiplicity 8)  2 Cu 2.45, 1 Al 2.66
Al (0.0000, 0.1694, 0.5000) (multiplicity 8)  2 Cu 2.56, 2 Al 2.82
Cu (0.0000, 0.1455, 0.3349) (multiplicity 16)  2 Al 2.45-2.56

**D(E_F)**: 24.39 states/eV/cell
**VASP energy**: -190.9 eV/cell
**Formation enthalpy at 0 K**: 0.0048 eV per atom
**Crystal system**: orthorhombic
**M_tot**: 0.000 μB/atom

=====

Record 10
A geometry-optimized TeP2W structure. Source: Alexandria, functional GGA-PBE.

Unit cell a=4.5157 b=4.5823 c=7.5935 alpha=90.00 beta=90.00 gamma=90.00
Last column: nearest neighbours and their distance in Å.
Space group Amm2 (No. 38)
Unique sites:
Te (0.0000, 0.0000, 0.0000) (multiplicity 2)  3 P 2.52-2.74, 2 W 2.81
P (0.0000, 0.0000, 0.3609) (multiplicity 2)  2 W 2.50, 3 Te 2.52-2.74
P (0.5000, 0.0000, 0.5872) (multiplicity 2)  3 W 2.51-2.78
W (0.5000, 0.0000, 0.2208) (multiplicity 2)  5 P 2.50-2.78

**D(E_F)**: 3.40 states/eV/cell
**VASP energy**: -50.8 eV/cell
**Crystal system**: orthorhombic
**Formation energy from raw total energies**: 0.374 eV/atom
**M_tot**: 0.000 μB/atom

=====

Record 11
A geometry-optimized CrSnSb2I structure. Source: Alexandria, functional GGA-PBE.

Unit cell a=5.0929 b=5.0929 c=5.7927 alpha=90.00 beta=90.00 gamma=90.00
Last column: nearest neighbours and their distance in Å.
Space group P4/mmm (No. 123)
Unique sites:
Cr (0.0000, 0.0000, 0.0000) (multiplicity 1)  4 Sb 2.55
Sn (0.5000, 0.5000, 0.5000) (multiplicity 1)  4 I 3.60, 8 Sb 3.86
Sb (0.0000, 0.5000, 0.0000) (multiplicity 2)  2 Cr 2.55
I (0.0000, 0.0000, 0.5000) (multiplicity 1)  2 Cr 2.90

**D(E_F)**: 2.91 states/eV/cell
**VASP energy**: -21.4 eV/cell
**Crystal system**: tetragonal
**Formation energy from raw total energies**: 0.394 eV/atom
**M_tot**: 0.470 μB/atom

=====

Record 12
A geometry-optimized PaB2PbO8 structure. Source: Alexandria, functional GGA-PBE.

Unit cell a=4.6083 b=4.6083 c=11.5702 alpha=90.00 beta=90.00 gamma=90.00
Last column: nearest neighbours and their distance in Å.
Space group I-4 (No. 82)
Unique sites:
Pa (0.0000, 0.0000, 0.0000) (multiplicity 2)  4 O 2.20
B (0.0000, 0.0000, 0.5000) (multiplicity 2)  4 O 1.49
B (0.0000, 0.5000, 0.7500) (multiplicity 2)  4 O 1.49
Pb (0.0000, 0.5000, 0.2500) (multiplicity 2)  8 O 2.25-2.52
O (0.1268, 0.7399, 0.8207) (multiplicity 8)  1 B 1.49
O (0.1360, 0.2409, 0.4339) (multiplicity 8)  1 B 1.49

**D(E_F)**: 10.68 states/eV/cell
**VASP energy**: -180.8 eV/cell
**Crystal system**: tetragonal
**Formation energy from raw total energies**: -2.015 eV/atom
**M_tot**: 0.087 μB/atom

=====

Record 13
A geometry-optimized NbRu structure. Source: Alexandria, functional GGA-PBE.

Unit cell a=5.2189 b=5.2189 c=5.1531 alpha=90.00 beta=90.00 gamma=90.00
Last column: nearest neighbours and their distance in Å.
Space group P4_2/mnm (No. 136)
Unique sites:
Nb (0.2133, 0.2133, 0.0000) (multiplicity 4)  6 Ru 2.58-2.66
Ru (0.2098, 0.2098, 0.5000) (multiplicity 4)  6 Nb 2.58-2.66

**D(E_F)**: 7.68 states/eV/cell
**VASP energy**: -74.8 eV/cell
**Formation enthalpy at 0 K**: 0.3217 eV per atom
**Crystal system**: tetragonal
**M_tot**: 0.000 μB/atom

=====

Record 14
A geometry-optimized RbB3P structure. Source: Alexandria, functional GGA-PBE.

Unit cell a=4.7803 b=6.2712 c=6.2885 alpha=92.76 beta=108.00 gamma=98.44
Last column: nearest neighbours and their distance in Å.
Space group P1 (No. 1)
Unique sites:
Rb (0.0000, 0.0000, 0.0000) (multiplicity 1)  4 B 3.06-3.39
Rb (0.3978, 0.5403, 0.1212) (multiplicity 1)  2 P 3.23-3.44, 8 B 3.24-3.56, 1 Rb 3.56
B (0.0653, 0.8292, 0.5010) (multiplicity 1)  3 B 1.63-1.73
B (0.3525, 0.7107, 0.6023) (multiplicity 1)  3 B 1.63-1.80
B (0.4129, 0.2276, 0.5749) (multiplicity 1)  1 B 1.69, 1 P 1.84
B (0.4597, 0.9694, 0.5339) (multiplicity 1)  3 B 1.69-1.74
B (0.7931, 0.9845, 0.4878) (multiplicity 1)  2 B 1.70-1.72
B (0.9844, 0.5647, 0.5617) (multiplicity 1)  2 B 1.73-1.80, 2 P 1.93-1.94
P (0.0228, 0.2669, 0.5051) (multiplicity 1)  3 B 1.84-1.93
P (0.6351, 0.5146, 0.6584) (multiplicity 1)  3 B 1.91-1.94

**D(E_F)**: 0.28 states/eV/cell
**VASP energy**: -52.2 eV/cell
**Formation enthalpy at 0 K**: 0.0592 eV per atom
**Crystal system**: triclinic
**M_tot**: 0.000 μB/atom

=====

Record 15
A geometry-optimized Nb2TlMoI structure. Source: Alexandria, functional GGA-PBE.

Unit cell a=5.0455 b=5.0455 c=5.8391 alpha=90.00 beta=90.00 gamma=90.00
Last column: nearest neighbours and their distance in Å.
Space group P4/mmm (No. 123)
Unique sites:
Nb (0.0000, 0.5000, 0.0000) (multiplicity 2)  2 I 2.52
Tl (0.0000, 0.0000, 0.5000) (multiplicity 1)  2 I 2.92
Mo (0.5000, 0.5000, 0.5000) (multiplicity 1)  4 Tl 3.57, 8 Nb 3.86
I (0.0000, 0.0000, 0.0000) (multiplicity 1)  4 Nb 2.52

**D(E_F)**: 5.02 states/eV/cell
**VASP energy**: -24.1 eV/cell
**Crystal system**: tetragonal
**Formation energy from raw total energies**: 2.151 eV/atom
**M_tot**: 0.413 μB/atom

=====

Record 16
A geometry-optimized RbNa2BeRu structure. Source: Alexandria, functional GGA-PBE.

Unit cell a=5.4375 b=5.4375 c=4.9191 alpha=90.00 beta=90.00 gamma=90.00
Last column: nearest neighbours and their distance in Å.
Space group P4/mmm (No. 123)
Unique sites:
Rb (0.0000, 0.0000, 0.0000) (multiplicity 1)  2 Ru 2.46, 4 Na 2.72
Na (0.0000, 0.5000, 0.0000) (multiplicity 2)  2 Rb 2.72
Be (0.5000, 0.5000, 0.5000) (multiplicity 1)  8 Na 3.67, 4 Ru 3.84
Ru (0.0000, 0.0000, 0.5000) (multiplicity 1)  2 Rb 2.46

**D(E_F)**: 6.28 states/eV/cell
**VASP energy**: -7.3 eV/cell
**Formation enthalpy at 0 K**: 1.8603 eV per atom
**Crystal system**: tetragonal
**M_tot**: 0.000 μB/atom

=====

Record 17
A geometry-optimized Cu4Te2S structure. Source: Alexandria, functional GGA-PBE.

Unit cell a=4.6278 b=4.6278 c=13.1160 alpha=90.00 beta=90.00 gamma=90.00
Last column: nearest neighbours and their distance in Å.
Space group I4/mmm (No. 139)
Unique sites:
Cu (0.0000, 0.0000, 0.1702) (multiplicity 4)  1 S 2.23, 1 Te 2.48
Cu (0.0000, 0.5000, 0.0000) (multiplicity 4)  2 S 2.31
Te (0.0000, 0.0000, 0.3591) (multiplicity 4)  1 Cu 2.48
S (0.0000, 0.0000, 0.0000) (multiplicity 2)  6 Cu 2.23-2.31

**D(E_F)**: 11.10 states/eV/cell
**VASP energy**: -51.0 eV/cell
**Crystal system**: tetragonal
**Formation energy from raw total energies**: 0.186 eV/atom
**M_tot**: 0.000 μB/atom

=====

Record 18
A geometry-optimized TlSiH3 structure. Source: Alexandria, functional GGA-PBE.

Unit cell a=3.8782 b=3.8782 c=3.8782 alpha=90.00 beta=90.00 gamma=90.00
Last column: nearest neighbours and their distance in Å.
Space group Pm-3m (No. 221)
Unique sites:
Tl (0.0000, 0.0000, 0.0000) (multiplicity 1)  12 H 2.74
Si (0.5000, 0.5000, 0.5000) (multiplicity 1)  6 H 1.94
H (0.0000, 0.5000, 0.5000) (multiplicity 3)  2 Si 1.94

**D(E_F)**: 1.17 states/eV/cell
**VASP energy**: -15.6 eV/cell
**Crystal system**: cubic
**M_tot**: 0.000 μB/atom

=====

Record 19
A geometry-optimized Ta2TcP structure. Source: Alexandria, functional GGA-PBE.

Unit cell a=3.1933 b=4.1774 c=9.4956 alpha=90.00 beta=90.00 gamma=90.00
Last column: nearest neighbours and their distance in Å.
Space group Imm2 (No. 44)
Unique sites:
Ta (0.0000, 0.0000, 0.0000) (multiplicity 2)  4 Tc 2.63
Ta (0.0000, 0.5000, 0.2371) (multiplicity 2)  4 P 2.66, 2 Tc 2.86, 2 Ta 2.96
Tc (0.0000, 0.0000, 0.4877) (multiplicity 2)  2 P 2.55, 6 Ta 2.63-2.86
P (0.0000, 0.5000, 0.7779) (multiplicity 2)  2 Tc 2.55, 4 Ta 2.66

**D(E_F)**: 4.86 states/eV/cell
**VASP energy**: -81.2 eV/cell
**Formation enthalpy at 0 K**: -0.2775 eV per atom
**Crystal system**: orthorhombic
**M_tot**: 0.000 μB/atom

=====

Record 20
A geometry-optimized SnSb2Te2 structure. Source: Alexandria, functional GGA-PBE.

Unit cell a=8.7088 b=8.7088 c=4.0568 alpha=90.00 beta=90.00 gamma=90.00
Last column: nearest neighbours and their distance in Å.
Space group P4/mbm (No. 127)
Unique sites:
Sn (0.0000, 0.0000, 0.0000) (multiplicity 2)  4 Sb 3.23
Sb (0.1720, 0.3280, 0.0000) (multiplicity 4)  2 Te 2.93, 2 Sn 3.23
Te (0.1559, 0.6559, 0.5000) (multiplicity 4)  2 Sb 2.93

**D(E_F)**: 5.27 states/eV/cell
**VASP energy**: -36.2 eV/cell
**Crystal system**: tetragonal
**Formation energy from raw total energies**: 0.088 eV/atom
**M_tot**: 0.000 μB/atom